YTh3Sb4: optimized geometry, PBE.

The structure belongs to space group Cmmm (No. 65); the cell edges are 8.9677, 12.6670 and 4.4772 Å and the angles 90.00°, 90.00° and 90.00°. The asymmetric unit holds Y at (0.0000, 0.0000, 0.0000), Th at (0.0000, 0.5000, 0.0000), Th at (0.2500, 0.2500, 0.5000), Sb at (0.0000, 0.2468, 0.0000) and Sb at (0.2444, 0.0000, 0.5000).

The volume is 254.3 Å³/f.u. The mass density is 8.31 Mg/m³. The calculation puts the density of states at the Fermi level at 0.573 states/eV per atom. As for the formation energy from raw total energies: -969 meV per atom. The value obtained for the offset from the most stable computed form is 0.003 eV/atom.

CsTeRhO6: optimized geometry, PBE.

The structure belongs to space group P312 (No. 149); the cell edges are 5.2901, 5.2901 and 6.8505 Å and the angles 90.00°, 90.00° and 120.00°. The asymmetric unit holds Cs at (0.0000, 0.0000, 0.0000), Te at (0.6667, 0.3333, 0.5000), Rh at (0.3333, 0.6667, 0.5000) and O at (0.3901, 0.0017, 0.6640).

The volume is 166.0 Å³/f.u. The mass density is 4.59 Mg/m³. The calculation puts the density of states at the Fermi level at 0.148 states/eV per atom. As for the formation energy from raw total energies: -1008 meV per atom.

Sc5Pa: optimized geometry, PBE.

The structure belongs to space group Cm (No. 8); the cell edges are 11.9128, 3.2630 and 7.7740 Å and the angles 90.00°, 104.35° and 90.00°. The asymmetric unit holds Sc at (0.0000, 0.0000, 0.0000), Sc at (0.0503, 0.0000, 0.6077), Sc at (0.1698, 0.5000, 0.3344), Sc at (0.2272, 0.5000, 0.9543), Sc at (0.3283, 0.0000, 0.6662) and Pa at (0.3887, 0.0000, 0.2753).

The volume is 146.4 Å³/f.u. The mass density is 5.17 Mg/m³. The calculation puts the formation energy at 0.07 eV/atom. The calculation puts the density of states at the Fermi level at 2.044 states/eV per atom. The value obtained for the offset from the most stable computed form is 0.000 eV/atom.

RbSrTl2Rh: optimized geometry, PBE.

The structure belongs to space group P4/mmm (No. 123); the cell edges are 5.4693, 5.4693 and 5.6369 Å and the angles 90.00°, 90.00° and 90.00°. The asymmetric unit holds Rb at (0.0000, 0.0000, 0.0000), Sr at (0.5000, 0.5000, 0.0000), Tl at (0.0000, 0.5000, 0.5000) and Rh at (0.5000, 0.5000, 0.5000).

The volume is 168.6 Å³/f.u. The mass density is 6.74 Mg/m³. The calculation puts the formation energy at -0.14 eV/atom. The calculation puts the density of states at the Fermi level at 0.744 states/eV per atom.

KBeOs2: optimized geometry, PBE.

The structure belongs to space group Cmm2 (No. 35); the cell edges are 2.8538, 4.6420 and 10.0012 Å and the angles 90.00°, 90.00° and 90.00°. The asymmetric unit holds K at (0.0000, 0.0000, 0.0000), Be at (0.0000, 0.5000, 0.2994), Os at (0.0000, 0.0000, 0.4869) and Os at (0.0000, 0.5000, 0.7103).

The volume is 66.2 Å³/f.u. The mass density is 10.74 Mg/m³. The calculation puts the formation energy at 0.98 eV/atom. The calculation puts the density of states at the Fermi level at 1.072 states/eV per atom.

HfSeNO2: optimized geometry, PBE.

The structure belongs to space group P4/mmm (No. 123); the cell edges are 3.8421, 3.8421 and 4.1203 Å and the angles 90.00°, 90.00° and 90.00°. The asymmetric unit holds Hf at (0.0000, 0.0000, 0.0000), Se at (0.5000, 0.5000, 0.5000), N at (0.5000, 0.5000, 0.0000) and O at (0.0000, 0.5000, 0.5000).

The volume is 60.8 Å³/f.u. The mass density is 8.28 Mg/m³. The calculation puts the density of states at the Fermi level at 0.362 states/eV per atom. As for the formation energy from raw total energies: -6 meV per atom.